Record 1
Here is a relaxed Nd2SmCo crystal from Alexandria. Energies are from GGA-PBE.

Excess energy over the best structure of this formula in the dataset ... 13.07 kJ per mole of atoms
Formation energy from the elements ... 63.8 meV per atom
Volume ... 28.231 A^3/atom

a b c (Å): 3.517 3.517 9.130
angles (deg): 90.00 90.00 90.00
Site moments in Bohr magnetons follow the coordinates.
Element x y z (fractional)
Nd: 0.000 0.000 0.184  -0.06
Sm: 0.500 0.500 0.500  0.11
Nd: 0.000 0.000 0.816  -0.06
Co: 0.500 0.500 0.000  1.07

=====

Record 2
Here is a relaxed NdSmZnCo crystal from Alexandria. Energies are from GGA-PBE.

Excess energy over the best structure of this formula in the dataset ... 3.32 kJ per mole of atoms
Formation energy from the elements ... -125.3 meV per atom
Volume ... 22.313 A^3/atom

a b c (Å): 5.016 5.016 5.016
angles (deg): 60.00 60.00 60.00
Element x y z (fractional)
Sm: 0.750 0.750 0.750
Zn: 0.000 0.000 0.000
Co: 0.500 0.500 0.500
Nd: 0.250 0.250 0.250

=====

Record 3
Here is a relaxed NdSmZnCo crystal from Alexandria. Energies are from GGA-PBE.

Excess energy over the best structure of this formula in the dataset ... 0.00 kJ per mole of atoms
Formation energy from the elements ... -159.7 meV per atom
Volume ... 23.373 A^3/atom

a b c (Å): 3.945 4.360 5.782
angles (deg): 90.00 109.94 90.00
Element x y z (fractional)
Nd: 0.138 0.000 0.275
Sm: 0.859 0.500 0.718
Co: 0.441 0.000 0.881
Zn: 0.563 0.500 0.125

=====

Record 4
Here is a relaxed Nd2CoSn crystal from Alexandria. Energies are from GGA-PBE.

Excess energy over the best structure of this formula in the dataset ... 35.05 kJ per mole of atoms
Formation energy from the elements ... 64.2 meV per atom
Volume ... 30.519 A^3/atom

a b c (Å): 3.798 3.798 10.014
angles (deg): 79.07 79.07 60.00
Element x y z (fractional)
Co: 0.500 0.500 0.500
Nd: 0.888 0.888 0.335
Nd: 0.112 0.112 0.665
Sn: 0.000 0.000 0.000

=====

Record 5
Here is a relaxed Nd12Co5Sn crystal from Alexandria. Energies are from GGA-PBE.

Formation energy from the elements ... -168.3 meV per atom
Volume ... 27.142 A^3/atom

a b c (Å): 8.596 8.596 8.596
angles (deg): 107.76 110.59 110.07
Element x y z (fractional)
Nd: 0.693 0.685 0.378
Co: 0.500 0.111 0.611
Nd: 0.190 0.991 0.801
Sn: 0.000 0.500 0.500
Nd: 0.513 0.813 0.700
Co: 0.500 0.889 0.389
Nd: 0.887 0.187 0.700
Nd: 0.810 0.009 0.199
Co: 0.618 0.618 0.000
Nd: 0.693 0.315 0.008
Nd: 0.487 0.187 0.300
Co: 0.000 0.000 0.000
Nd: 0.307 0.315 0.622
Nd: 0.307 0.685 0.992
Nd: 0.190 0.389 0.199
Nd: 0.113 0.813 0.300
Nd: 0.810 0.611 0.801
Co: 0.382 0.382 0.000

=====

Record 6
Here is a relaxed NdCoSn2 crystal from Alexandria. Energies are from GGA-PBE.

Formation energy from the elements ... -474.9 meV per atom
Volume ... 22.736 A^3/atom

a b c (Å): 4.524 9.459 9.987
angles (deg): 118.27 103.09 90.00
Element x y z (fractional)
Sn: 0.696 0.362 0.393
Sn: 0.696 0.030 0.393
Co: 0.146 0.895 0.293
Sn: 0.304 0.638 0.607
Sn: 0.917 0.417 0.834
Nd: 0.500 0.734 0.000
Co: 0.854 0.105 0.707
Sn: 0.914 0.914 0.827
Co: 0.854 0.602 0.707
Co: 0.146 0.398 0.293
Nd: 0.290 0.290 0.581
Nd: 0.500 0.266 0.000
Sn: 0.086 0.086 0.173
Sn: 0.304 0.970 0.607
Nd: 0.710 0.710 0.419
Sn: 0.083 0.583 0.166